Entry from the Alexandria database: a relaxed Na2MnInF6 crystal (GGA+U).

Cell: 5.8116 5.8131 6.0757 Å, 61.42 61.42 59.99°
Last column: magnetic moment on the atom in μB.
Positions (direct):
Na (0.0298, 0.0297, 0.9106)  0.00
Na (0.5262, 0.5262, 0.4214)  0.00
F (0.6190, 0.1873, 0.2690)  -0.02
F (0.4536, 0.7007, 0.7540)  -0.01
F (0.7007, 0.0916, 0.7542)  -0.01
F (0.1874, 0.9245, 0.2690)  -0.02
F (0.9246, 0.6192, 0.2688)  -0.02
F (0.0916, 0.4536, 0.7540)  -0.01
In (0.3119, 0.3121, 0.0640)  -0.22
Mn (0.8166, 0.8167, 0.5503)  4.66

The value obtained for the magnetic moment is 0.445 μB/atom. As for the symmetry: No. 146.


Entry from the Alexandria database: a relaxed NaMnInF6 crystal (GGA+U).

Cell: 5.0645 5.0645 10.1723 Å, 90.00 90.00 90.00°
Last column: magnetic moment on the atom in μB.
Positions (direct):
Mn (0.5000, 0.5000, 0.1677)  4.70
Mn (0.0000, 0.0000, 0.6677)  4.70
F (0.7949, 0.2051, 0.8227)  0.02
F (0.7017, 0.7017, 0.6806)  0.01
F (0.2983, 0.2983, 0.6806)  0.01
F (0.8167, 0.1833, 0.4968)  0.02
F (0.2051, 0.7949, 0.8227)  0.02
F (0.1833, 0.8167, 0.4968)  0.02
F (0.2017, 0.7983, 0.1805)  0.01
F (0.2949, 0.2949, 0.3227)  0.02
F (0.7983, 0.2017, 0.1805)  0.01
F (0.7051, 0.7051, 0.3227)  0.02
F (0.6833, 0.6833, 0.9968)  0.02
F (0.3167, 0.3167, 0.9968)  0.02
In (0.0000, 0.0000, 0.3329)  0.01
In (0.5000, 0.5000, 0.8329)  0.01
Na (0.5000, 0.5000, 0.4993)  0.00
Na (0.0000, 0.0000, 0.9993)  0.00

The value obtained for the magnetic moment is 0.556 μB/atom. As for the symmetry: No. 102.


no.,energy (eV/atom)
1,-4.92
2,-5.19